(1)
! NiAgTe, optimized geometry, DFT PBE-GGA; values from VASP
! - ρ: 8.39 g/cm³
! - Energy relative to the lowest polymorph listed for this composition: 0 meV/atom
! - Total magnetic moment: 0.004 μB/f.u.
! - Space-group type: F-43m (216)
&SYSTEM
  ibrav = 0, nat = 3, ntyp = 3
/
ATOMIC_SPECIES
Ag 107.87 Ag.upf
Ni 58.69 Ni.upf
Te 127.60 Te.upf
CELL_PARAMETERS angstrom
0.820 -3.826 1.899
1.298 -0.134 4.149
-2.680 -1.523 3.069
ATOMIC_POSITIONS crystal
Ag 0.250 0.250 0.250
Ni 0.000 0.000 0.000
Te 0.750 0.750 0.750



(2)
! SrDyHg, optimized geometry, DFT PBE-GGA; values from VASP
! - ρ: 7.62 g/cm³
! - Total magnetic moment: 0.001 μB/f.u.
! - Uncorrected energy: -1.88 eV per atom
! - Space-group type: F-43m (216)
&SYSTEM
  ibrav = 0, nat = 3, ntyp = 3
/
ATOMIC_SPECIES
Dy 162.50 Dy.upf
Hg 200.59 Hg.upf
Sr 87.62 Sr.upf
CELL_PARAMETERS angstrom
2.274 2.367 4.005
0.366 5.164 0.088
-2.848 2.741 3.345
ATOMIC_POSITIONS crystal
Dy 0.000 0.000 0.000
Hg 0.250 0.250 0.250
Sr 0.750 0.750 0.750



(3)
! DyErCI, optimized geometry, DFT PBE-GGA; values from VASP
! - ρ: 8.66 g/cm³
! - Total magnetic moment: 0.027 μB/f.u.
! - Uncorrected energy: -5.73 eV per atom
! - Space-group type: R3m (160)
&SYSTEM
  ibrav = 0, nat = 4, ntyp = 4
/
ATOMIC_SPECIES
C 12.01 C.upf
Dy 162.50 Dy.upf
Er 167.26 Er.upf
I 126.90 I.upf
CELL_PARAMETERS angstrom
1.877 1.084 7.366
-1.877 1.084 7.366
0.000 -2.168 7.366
ATOMIC_POSITIONS crystal
C 0.499 0.499 0.499
Dy 0.223 0.223 0.223
Er 0.778 0.778 0.778
I 0.001 0.001 0.001



(4)
! K2LiPdF6, optimized geometry, DFT PBE-GGA; values from VASP
! - ρ: 4.01 g/cm³
! - Energy relative to the lowest polymorph listed for this composition: 4 meV/atom
! - Space-group type: P2_1/c (14)
&SYSTEM
  ibrav = 0, nat = 20, ntyp = 4
/
ATOMIC_SPECIES
F 19.00 F.upf
K 39.10 K.upf
Li 6.94 Li.upf
Pd 106.42 Pd.upf
CELL_PARAMETERS angstrom
-0.142 1.449 5.465
4.047 -3.801 1.113
5.672 4.054 -6.777
ATOMIC_POSITIONS crystal
F 0.266 0.239 0.006
F 0.258 0.727 0.006
F 0.761 0.499 0.249
F 0.239 0.999 0.251
F 0.742 0.227 0.494
F 0.734 0.739 0.494
F 0.266 0.261 0.506
F 0.258 0.773 0.506
F 0.761 0.001 0.749
F 0.239 0.501 0.751
F 0.742 0.273 0.994
F 0.734 0.761 0.994
K 0.250 0.497 0.249
K 0.750 0.997 0.251
K 0.250 0.003 0.749
K 0.750 0.503 0.751
Li 0.500 0.500 0.000
Li 0.500 0.000 0.500
Pd 0.000 0.000 0.000
Pd 0.000 0.500 0.500



(5)
! Hg2Pt2O5, optimized geometry, DFT PBE-GGA; values from VASP
! - ρ: 11.45 g/cm³
! - Energy relative to the lowest polymorph listed for this composition: 0 meV/atom
! - Total magnetic moment: 0.001 μB/f.u.
! - Space-group type: P4/mmm (123)
&SYSTEM
  ibrav = 0, nat = 9, ntyp = 3
/
ATOMIC_SPECIES
Hg 200.59 Hg.upf
O 16.00 O.upf
Pt 195.08 Pt.upf
CELL_PARAMETERS angstrom
8.246 0.000 0.000
0.000 3.914 0.000
0.000 0.000 3.914
ATOMIC_POSITIONS crystal
Hg 0.000 0.000 0.000
Hg 0.500 0.000 0.000
O 0.190 0.500 0.000
O 0.810 0.500 0.000
O 0.190 0.000 0.500
O 0.810 0.000 0.500
O 0.500 0.500 0.500
Pt 0.241 0.500 0.500
Pt 0.759 0.500 0.500



(6)
! LuCoBMo, optimized geometry, DFT PBE-GGA; values from VASP
! - ρ: 10.55 g/cm³
! - Energy relative to the lowest polymorph listed for this composition: 0 meV/atom
! - Total magnetic moment: 0.059 μB/f.u.
! - Space-group type: F-43m (216)
&SYSTEM
  ibrav = 0, nat = 4, ntyp = 4
/
ATOMIC_SPECIES
B 10.81 B.upf
Co 58.93 Co.upf
Lu 174.97 Lu.upf
Mo 95.94 Mo.upf
CELL_PARAMETERS angstrom
0.000 2.993 2.993
2.993 0.000 2.993
2.993 2.993 0.000
ATOMIC_POSITIONS crystal
B 0.000 0.000 0.000
Co 0.750 0.750 0.750
Lu 0.500 0.500 0.500
Mo 0.250 0.250 0.250